[1]
# LiTa2Se PBE optimized geometry
data_LiTa2Se
_chemical_formula_sum 'Li1 Ta2 Se1'
_symmetry_space_group_name_H-M 'P 1'
_symmetry_Int_Tables_number 1
_cell_length_a 3.028
_cell_length_b 3.028
_cell_length_c 8.412
_cell_angle_alpha 90.00
_cell_angle_beta 90.00
_cell_angle_gamma 108.11
loop_
_symmetry_equiv_pos_as_xyz
'x,y,z'
loop_
_atom_site_label
_atom_site_type_symbol
_atom_site_fract_x
_atom_site_fract_y
_atom_site_fract_z
Ta1 Ta 0.000 0.000 0.988
Ta2 Ta 0.500 0.500 0.235
Li1 Li 0.000 0.000 0.524
Se1 Se 0.500 0.500 0.753
# Uncorrected energy, eV per atom: -7.321
# Raw formation energy, meV per atom: -45
# Space-group type: Cmm2
# Spin magnetization, μB/cell: 0.0

=====

[2]
# LaCuNi2 PBE optimized geometry
data_LaCuNi2
_chemical_formula_sum 'La1 Cu1 Ni2'
_symmetry_space_group_name_H-M 'P 1'
_symmetry_Int_Tables_number 1
_cell_length_a 4.147
_cell_length_b 4.147
_cell_length_c 5.349
_cell_angle_alpha 67.46
_cell_angle_beta 67.46
_cell_angle_gamma 59.97
loop_
_symmetry_equiv_pos_as_xyz
'x,y,z'
loop_
_atom_site_label
_atom_site_type_symbol
_atom_site_fract_x
_atom_site_fract_y
_atom_site_fract_z
Ni1 Ni 0.745 0.745 0.766
Ni2 Ni 0.057 0.057 0.830
La1 La 0.251 0.251 0.246
Cu1 Cu 0.447 0.447 0.657
# Uncorrected energy, eV per atom: -5.379
# ΔH_f (0 K), eV per atom: -0.233
# Space-group type: Cm
# Spin magnetization, μB/cell: 0.0

=====

- Number 2 is which compound?
  LaCuNi2

=====

Copy entry 2 word for word.
# LaCuNi2 PBE optimized geometry
data_LaCuNi2
_chemical_formula_sum 'La1 Cu1 Ni2'
_symmetry_space_group_name_H-M 'P 1'
_symmetry_Int_Tables_number 1
_cell_length_a 4.147
_cell_length_b 4.147
_cell_length_c 5.349
_cell_angle_alpha 67.46
_cell_angle_beta 67.46
_cell_angle_gamma 59.97
loop_
_symmetry_equiv_pos_as_xyz
'x,y,z'
loop_
_atom_site_label
_atom_site_type_symbol
_atom_site_fract_x
_atom_site_fract_y
_atom_site_fract_z
Ni1 Ni 0.745 0.745 0.766
Ni2 Ni 0.057 0.057 0.830
La1 La 0.251 0.251 0.246
Cu1 Cu 0.447 0.447 0.657
# Uncorrected energy, eV per atom: -5.379
# ΔH_f (0 K), eV per atom: -0.233
# Space-group type: Cm
# Spin magnetization, μB/cell: 0.0